(1)
DFT (PBE) results for a relaxed Pr2HgSb4 crystal.

Structure (CIF):
```
data_Pr2HgSb4
_chemical_formula_sum 'Pr2 Hg1 Sb4'
_symmetry_space_group_name_H-M 'P 1'
_symmetry_Int_Tables_number 1
_cell_length_a 4.454
_cell_length_b 4.454
_cell_length_c 10.511
_cell_angle_alpha 90.00
_cell_angle_beta 90.00
_cell_angle_gamma 90.00
loop_
_symmetry_equiv_pos_as_xyz
'x,y,z'
loop_
_atom_site_label
_atom_site_type_symbol
_atom_site_fract_x
_atom_site_fract_y
_atom_site_fract_z
_atom_site_occupancy
Pr1 Pr 0.000 0.500 0.241 1
Pr2 Pr 0.500 0.000 0.759 1
Hg1 Hg 0.000 0.000 0.500 1
Sb1 Sb 0.000 0.000 0.000 1
Sb2 Sb 0.000 0.500 0.676 1
Sb3 Sb 0.500 0.000 0.324 1
Sb4 Sb 0.500 0.500 0.000 1
```

Calculated values
E_tot, eV/atom: -4.447
Crystal system: tetragonal
Theoretical density, g/cm³: 7.72

=====

(2)
DFT (PBE) results for a relaxed Pr6Hg5Sb crystal.

Structure (CIF):
```
data_Pr6Hg5Sb
_chemical_formula_sum 'Pr6 Hg5 Sb1'
_symmetry_space_group_name_H-M 'P 1'
_symmetry_Int_Tables_number 1
_cell_length_a 9.527
_cell_length_b 9.527
_cell_length_c 5.472
_cell_angle_alpha 106.66
_cell_angle_beta 106.66
_cell_angle_gamma 120.70
loop_
_symmetry_equiv_pos_as_xyz
'x,y,z'
loop_
_atom_site_label
_atom_site_type_symbol
_atom_site_fract_x
_atom_site_fract_y
_atom_site_fract_z
_atom_site_occupancy
Pr1 Pr 0.082 0.412 0.747 1
Pr2 Pr 0.246 0.246 0.245 1
Pr3 Pr 0.412 0.082 0.747 1
Pr4 Pr 0.588 0.918 0.253 1
Pr5 Pr 0.754 0.754 0.755 1
Pr6 Pr 0.918 0.588 0.253 1
Hg1 Hg 0.178 0.822 0.000 1
Hg2 Hg 0.334 0.666 0.500 1
Hg3 Hg 0.500 0.500 0.000 1
Hg4 Hg 0.666 0.334 0.500 1
Hg5 Hg 0.822 0.178 0.000 1
Sb1 Sb 0.000 0.000 0.500 1
```

Calculated values
E_tot, eV/atom: -3.425
Crystal system: monoclinic
Theoretical density, g/cm³: 9.40

=====

(3)
DFT (PBE) results for a relaxed PrHgSb crystal.

Structure (CIF):
```
data_PrHgSb
_chemical_formula_sum 'Pr1 Hg1 Sb1'
_symmetry_space_group_name_H-M 'P 1'
_symmetry_Int_Tables_number 1
_cell_length_a 4.777
_cell_length_b 4.777
_cell_length_c 4.477
_cell_angle_alpha 90.00
_cell_angle_beta 90.00
_cell_angle_gamma 120.00
loop_
_symmetry_equiv_pos_as_xyz
'x,y,z'
loop_
_atom_site_label
_atom_site_type_symbol
_atom_site_fract_x
_atom_site_fract_y
_atom_site_fract_z
_atom_site_occupancy
Pr1 Pr 0.000 0.000 0.000 1
Hg1 Hg 0.667 0.333 0.318 1
Sb1 Sb 0.333 0.667 0.587 1
```

Calculated values
E_tot, eV/atom: -3.723
Crystal system: trigonal
Theoretical density, g/cm³: 8.69
Energy above the lowest structure with this stoichiometry, meV per atom: 0

=====

(4)
DFT (PBE) results for a relaxed PrHgSb crystal.

Structure (CIF):
```
data_PrHgSb
_chemical_formula_sum 'Pr2 Hg2 Sb2'
_symmetry_space_group_name_H-M 'P 1'
_symmetry_Int_Tables_number 1
_cell_length_a 4.393
_cell_length_b 4.703
_cell_length_c 8.678
_cell_angle_alpha 82.90
_cell_angle_beta 75.43
_cell_angle_gamma 89.93
loop_
_symmetry_equiv_pos_as_xyz
'x,y,z'
loop_
_atom_site_label
_atom_site_type_symbol
_atom_site_fract_x
_atom_site_fract_y
_atom_site_fract_z
_atom_site_occupancy
Pr1 Pr 0.092 0.282 0.309 1
Pr2 Pr 0.908 0.718 0.691 1
Hg1 Hg 0.254 0.765 0.995 1
Hg2 Hg 0.746 0.235 0.005 1
Sb1 Sb 0.428 0.230 0.653 1
Sb2 Sb 0.572 0.770 0.347 1
```

Calculated values
E_tot, eV/atom: -3.720
Crystal system: triclinic
Theoretical density, g/cm³: 8.94
Energy above the lowest structure with this stoichiometry, meV per atom: 3